Entry 1:
A relaxed structure of Ti2MnMo6. Source: Alexandria via LeMat-Bulk, functional PBE.

Cell: 4.9660 5.0405 6.3290 Å, 100.75 113.07 90.03°
Atoms (fractional coordinates):
Ti: 0.1051 0.0639 0.2075
Ti: 0.8949 0.9361 0.7925
Mn: 0.5000 0.0000 0.0000
Mo: 0.2430 0.5003 0.0006
Mo: 0.2704 0.6329 0.5412
Mo: 0.3162 0.1463 0.6338
Mo: 0.6838 0.8537 0.3662
Mo: 0.7296 0.3671 0.4588
Mo: 0.7570 0.4997 0.9994

Properties
N(E_F), states/eV per atom: 0.96
Size of the total moment, μB per formula unit: 0.00
Crystal system: triclinic
Space group: No. 2
ρ, g cm⁻³: 8.5
Formation enthalpy at 0 K, meV per atom: 177

***

Entry 2:
A relaxed structure of Ti2Mn3Mo. Source: Alexandria via LeMat-Bulk, functional PBE.

Cell: 2.9802 2.9802 8.9513 Å, 90.00 90.00 90.00°
Atoms (fractional coordinates):
Ti: 0.0000 0.0000 0.1640
Ti: 0.0000 0.0000 0.8360
Mn: 0.5000 0.5000 0.0000
Mn: 0.5000 0.5000 0.3368
Mn: 0.5000 0.5000 0.6632
Mo: 0.0000 0.0000 0.5000

Properties
N(E_F), states/eV per atom: 0.60
Size of the total moment, μB per formula unit: 0.52
Crystal system: tetragonal
Space group: No. 123
ρ, g cm⁻³: 7.4
Formation enthalpy at 0 K, meV per atom: -208

***

The lowest formation enthalpy at 0 K belongs to which entry?
Ti2Mn3Mo